[1]
Material: HfGaBi2I
Method: DFT, PBE
State: relaxed

Geometry as POSCAR:
```
HfGaBi2I
1.0
5.846 0.000 0.000
0.000 5.846 0.000
0.000 0.000 5.472
Hf Ga Bi I
1 1 2 1
Cartesian
0.000 0.000 0.000
2.923 2.923 0.000
0.000 2.923 2.736
2.923 0.000 2.736
2.923 2.923 2.736
```

* E: -15.9 eV/f.u.
* calculated volume: 37.4 A^3/atom
* magnetization: 1.15 μB/f.u.
* space-group type: P4/mmm
* crystal system: tetragonal
* formation energy from raw total energies: 1.270 eV/atom

=====

[2]
Material: ErTm2Mg4
Method: DFT, PBE
State: relaxed

Geometry as POSCAR:
```
ErTm2Mg4
1.0
-2.686 2.686 7.071
2.686 -2.686 7.071
2.686 2.686 -7.071
Er Tm Mg
1 2 4
Cartesian
0.000 0.000 0.000
0.000 0.000 3.524
0.000 0.000 10.618
2.686 0.000 1.665
2.686 0.000 5.406
0.000 2.686 1.665
0.000 2.686 5.406
```

* E: -18.8 eV/f.u.
* formation enthalpy at 0 K: 1.111 eV per formula unit
* calculated volume: 29.1 A^3/atom
* magnetization: 0.00 μB/f.u.
* space-group type: I4/mmm
* crystal system: tetragonal
* distance to the lowest polymorph of the same formula: 0 meV per atom

=====

[3]
Material: BeGe2MoSe
Method: DFT, PBE
State: relaxed

Geometry as POSCAR:
```
BeGe2MoSe
1.0
4.354 0.000 0.000
0.000 4.354 0.000
0.000 0.000 4.711
Be Ge Mo Se
1 2 1 1
Cartesian
0.000 0.000 0.000
0.000 2.177 0.000
2.177 0.000 0.000
0.000 0.000 2.355
2.177 2.177 2.355
```

* E: -23.8 eV/f.u.
* calculated volume: 17.9 A^3/atom
* magnetization: 2.28 μB/f.u.
* space-group type: P4/mmm
* crystal system: tetragonal
* formation energy from raw total energies: 0.692 eV/atom

=====

[4]
Material: La2ZnAs3Rh4
Method: DFT, PBE
State: relaxed

Geometry as POSCAR:
```
La2ZnAs3Rh4
1.0
4.267 0.000 0.000
0.000 4.267 0.000
0.000 0.000 10.279
La Zn As Rh
2 1 3 4
Cartesian
0.000 2.134 2.524
2.134 0.000 7.755
2.134 2.134 0.000
0.000 0.000 0.000
0.000 2.134 6.521
2.134 0.000 3.758
0.000 0.000 5.139
0.000 2.134 8.956
2.134 0.000 1.322
2.134 2.134 5.139
```

* E: -63.7 eV/f.u.
* formation enthalpy at 0 K: -9.232 eV per formula unit
* calculated volume: 18.7 A^3/atom
* magnetization: 0.00 μB/f.u.
* space-group type: P-4m2
* crystal system: tetragonal

=====

[5]
Material: CsLi2Sc2
Method: DFT, PBE
State: relaxed

Geometry as POSCAR:
```
CsLi2Sc2
1.0
-2.113 2.113 9.485
2.113 -2.113 9.485
2.113 2.113 -9.485
Cs Li Sc
1 2 2
Cartesian
0.000 0.000 0.000
0.000 0.000 7.039
0.000 0.000 11.932
2.113 0.000 4.743
0.000 2.113 4.743
```

* E: -15.0 eV/f.u.
* formation enthalpy at 0 K: 2.379 eV per formula unit
* calculated volume: 33.9 A^3/atom
* magnetization: 0.99 μB/f.u.
* space-group type: I4/mmm
* crystal system: tetragonal

=====

[6]
Material: CePuAg4
Method: DFT, PBE
State: relaxed

Geometry as POSCAR:
```
CePuAg4
1.0
3.075 -8.636 0.000
3.075 8.636 0.000
0.000 0.000 4.992
Ce Pu Ag
2 2 8
Cartesian
3.075 6.493 3.744
3.075 -6.493 1.248
3.075 2.182 1.248
3.075 -2.182 3.744
1.545 3.599 3.744
1.571 0.718 3.744
1.571 -0.718 1.248
1.545 -3.599 1.248
4.606 3.599 3.744
4.580 0.718 3.744
4.580 -0.718 1.248
4.606 -3.599 1.248
```

* E: -32.3 eV/f.u.
* formation enthalpy at 0 K: -0.588 eV per formula unit
* calculated volume: 22.1 A^3/atom
* magnetization: 7.50 μB/f.u.
* space-group type: Cmcm
* crystal system: orthorhombic
* distance to the lowest polymorph of the same formula: 0 meV per atom

=====

Repeat the second record exactly.
Material: ErTm2Mg4
Method: DFT, PBE
State: relaxed

Geometry as POSCAR:
```
ErTm2Mg4
1.0
-2.686 2.686 7.071
2.686 -2.686 7.071
2.686 2.686 -7.071
Er Tm Mg
1 2 4
Cartesian
0.000 0.000 0.000
0.000 0.000 3.524
0.000 0.000 10.618
2.686 0.000 1.665
2.686 0.000 5.406
0.000 2.686 1.665
0.000 2.686 5.406
```

* E: -18.8 eV/f.u.
* formation enthalpy at 0 K: 1.111 eV per formula unit
* calculated volume: 29.1 A^3/atom
* magnetization: 0.00 μB/f.u.
* space-group type: I4/mmm
* crystal system: tetragonal
* distance to the lowest polymorph of the same formula: 0 meV per atom